Cd2InAu8 after structural relaxation. Source: Alexandria via LeMat-Bulk, functional GGA-PBE.

The structure in POSCAR format:
```
Cd2InAu8
1.0
4.968 0.144 -1.199
-0.728 5.267 -2.461
0.291 0.299 8.071
Au Cd In
8 2 1
Cartesian
5.049 1.792 6.236
3.273 4.983 -0.547
3.634 2.396 0.678
1.343 1.027 1.981
3.187 4.683 2.432
-0.518 3.918 -1.824
1.257 0.727 4.959
0.896 3.314 3.734
3.519 2.083 3.749
1.011 3.627 0.663
2.484 0.072 -0.599
```

Uncorrected energy ... -32.0 eV for the cell shown
Magnetic moment ... 0.00 Bohr magnetons per cell
Calculated formation energy ... -2.6 kcal/mol of atoms
Polymorph energy (0 for the lowest one) ... 0 meV per atom
Crystal system ... triclinic

***

Cd2InAu2 after structural relaxation. Source: Alexandria via LeMat-Bulk, functional GGA-PBE.

The structure in POSCAR format:
```
Cd2InAu2
1.0
-4.750 3.927 -5.827
4.651 -3.515 -6.161
-1.868 -2.357 -0.065
Au Cd In
4 4 2
Cartesian
-1.707 -0.483 -3.003
1.374 -2.866 -5.155
-3.342 0.921 -6.897
-0.260 -1.462 -9.050
-2.388 2.016 -4.440
1.128 -0.810 -3.038
-1.228 1.222 -8.950
2.288 -1.604 -7.548
0.000 0.000 0.000
-0.050 0.206 -5.994
```

Uncorrected energy ... -23.3 eV for the cell shown
Magnetic moment ... 0.00 Bohr magnetons per cell
Calculated formation energy ... -2.5 kcal/mol of atoms
Polymorph energy (0 for the lowest one) ... 75 meV per atom
Crystal system ... tetragonal

***

Cd4InAu2 after structural relaxation. Source: Alexandria via LeMat-Bulk, functional GGA-PBE.

The structure in POSCAR format:
```
Cd4InAu2
1.0
4.561 0.000 0.000
2.280 3.950 0.000
2.280 1.317 9.622
Au In Cd
2 1 4
Cartesian
2.280 1.317 6.804
6.841 3.950 2.817
0.000 0.000 0.000
4.561 2.633 7.893
6.841 3.950 5.693
2.280 1.317 3.929
4.561 2.633 1.729
```

Uncorrected energy ... -13.6 eV for the cell shown
Magnetic moment ... 0.00 Bohr magnetons per cell
Calculated formation energy ... -2.2 kcal/mol of atoms
Crystal system ... trigonal

***

CdInAu2 after structural relaxation. Source: Alexandria via LeMat-Bulk, functional GGA-PBE.

The structure in POSCAR format:
```
CdInAu2
1.0
4.547 -0.065 0.060
2.994 3.422 0.060
1.397 0.622 5.643
Au Cd In
2 1 1
Cartesian
8.930 3.976 5.757
4.477 1.993 2.887
6.703 2.985 4.322
2.234 0.995 1.441
```

Uncorrected energy ... -10.6 eV for the cell shown
Magnetic moment ... 0.00 Bohr magnetons per cell
Calculated formation energy ... -2.4 kcal/mol of atoms
Crystal system ... monoclinic

***

Cd2In2Au after structural relaxation. Source: Alexandria via LeMat-Bulk, functional GGA-PBE.

The structure in POSCAR format:
```
Cd2In2Au
1.0
-1.122 3.208 -2.053
-3.788 -1.160 0.258
-3.263 5.221 6.100
In Au Cd
2 1 2
Cartesian
-5.573 5.487 3.939
-2.601 1.781 0.365
0.000 0.000 0.000
-4.753 2.542 2.730
-3.420 4.726 1.574
```

Uncorrected energy ... -10.0 eV for the cell shown
Magnetic moment ... 0.00 Bohr magnetons per cell
Calculated formation energy ... 2.6 kcal/mol of atoms
Polymorph energy (0 for the lowest one) ... 93 meV per atom
Crystal system ... tetragonal

***

Cd3InAu3 after structural relaxation. Source: Alexandria via LeMat-Bulk, functional GGA-PBE.

The structure in POSCAR format:
```
Cd3InAu3
1.0
-7.136 -1.247 -2.541
0.407 -7.272 2.427
-2.801 2.121 6.826
Cd In Au
6 2 6
Cartesian
-0.497 -3.106 2.920
-6.753 0.125 1.507
-3.466 -2.442 -0.664
-3.185 0.749 2.778
-1.898 -2.045 6.333
-3.263 -6.078 0.550
0.000 0.000 0.000
-4.765 -3.199 3.356
-5.669 0.967 3.849
-5.149 -4.571 -0.692
-4.268 -0.093 0.436
-1.096 -4.393 5.233
-1.299 -0.757 4.020
-1.581 -3.948 0.578
```

Uncorrected energy ... -27.2 eV for the cell shown
Magnetic moment ... 0.00 Bohr magnetons per cell
Calculated formation energy ... 5.7 kcal/mol of atoms
Polymorph energy (0 for the lowest one) ... 387 meV per atom
Crystal system ... cubic

***

Cd2InAu after structural relaxation. Source: Alexandria via LeMat-Bulk, functional GGA-PBE.

The structure in POSCAR format:
```
Cd2InAu
1.0
-0.602 3.615 -4.046
-4.000 -1.550 -3.375
0.242 0.545 5.426
Cd In Au
2 1 1
Cartesian
-2.301 1.032 -3.710
0.000 0.000 0.000
-3.030 0.014 -0.829
-1.330 2.596 -1.165
```

Uncorrected energy ... -8.1 eV for the cell shown
Magnetic moment ... 0.00 Bohr magnetons per cell
Calculated formation energy ... -1.2 kcal/mol of atoms
Crystal system ... tetragonal

***

Cd3In12Au5 after structural relaxation. Source: Alexandria via LeMat-Bulk, functional GGA-PBE.

The structure in POSCAR format:
```
Cd3In12Au5
1.0
14.421 0.000 0.000
-4.807 13.596 0.000
-4.807 -6.798 11.775
In Au Cd
48 20 12
Cartesian
10.055 6.654 2.004
2.449 -2.151 6.765
-5.721 3.626 8.533
0.045 4.647 5.010
7.256 3.535 4.368
2.358 8.949 5.010
-1.489 4.620 10.255
-4.852 10.061 4.368
6.692 7.513 6.529
5.325 6.012 9.129
-0.914 7.792 4.761
-1.489 -3.626 8.533
0.518 8.299 7.891
4.762 2.151 6.765
-0.441 8.462 1.127
2.844 8.605 0.877
9.659 -3.263 7.407
6.770 6.942 2.004
1.489 0.994 7.014
2.844 5.135 1.127
7.256 12.213 0.642
7.729 -0.786 2.646
-1.885 -0.715 5.245
-2.449 3.263 7.407
10.528 3.172 3.242
5.248 1.807 10.898
6.296 10.424 3.242
-0.441 4.991 0.877
1.885 5.297 7.891
-4.289 6.084 6.529
1.963 -1.807 10.898
-2.922 7.584 9.129
1.963 1.663 10.648
6.296 2.178 1.519
-2.449 -5.415 11.133
5.248 -1.663 10.648
5.721 -0.994 7.014
9.096 0.715 5.245
8.700 -4.620 10.255
-0.518 0.786 2.646
-3.893 11.418 1.519
-5.248 0.144 9.771
-1.963 -0.144 9.771
2.922 1.501 3.884
-4.762 5.415 11.133
9.569 1.384 0.642
3.318 5.804 4.761
4.289 -1.501 3.884
6.009 5.948 4.416
-2.404 6.798 0.000
-1.202 11.047 1.472
-3.605 7.648 4.416
4.807 -3.399 5.887
4.807 6.798 0.000
0.000 0.000 0.000
7.211 0.000 0.000
3.605 2.549 1.472
1.202 4.249 10.303
2.404 3.399 5.887
1.202 -3.399 8.831
3.605 10.197 2.944
-2.404 -3.399 5.887
-1.202 0.850 7.359
8.412 -0.850 7.359
6.009 3.399 8.831
6.009 -4.249 10.303
-4.807 3.399 5.887
-1.202 3.399 2.944
3.605 0.000 8.831
6.009 0.850 4.416
-3.605 -2.549 10.303
8.412 9.347 1.472
8.412 4.249 1.472
1.202 -0.850 4.416
3.605 7.648 7.359
-6.009 6.798 8.831
1.202 6.798 2.944
-3.605 2.549 10.303
-1.202 5.948 7.359
10.816 0.000 2.944
```

Uncorrected energy ... -205.3 eV for the cell shown
Magnetic moment ... 0.00 Bohr magnetons per cell
Calculated formation energy ... 0.8 kcal/mol of atoms
Crystal system ... cubic

***

Cd9InAu2 after structural relaxation. Source: Alexandria via LeMat-Bulk, functional GGA-PBE.

The structure in POSCAR format:
```
Cd9InAu2
1.0
-3.460 2.150 6.492
-8.288 4.093 -1.249
-5.548 -6.510 3.723
Cd Au In
18 4 2
Cartesian
-5.178 2.087 3.796
-10.740 -3.210 2.585
-4.516 -0.471 4.995
-9.513 0.404 6.106
-11.401 -0.652 1.385
-8.121 2.648 4.303
-7.178 2.951 1.523
-9.680 1.849 0.554
-4.997 0.875 1.111
-8.036 -4.511 3.536
-10.624 1.547 3.334
-12.609 1.197 5.995
0.000 0.000 0.000
-7.024 -1.595 6.292
-11.947 -1.360 7.194
-4.335 -1.683 2.310
-9.527 -2.696 5.323
-5.534 -3.410 4.505
-10.631 3.323 5.675
-9.260 -1.978 8.160
-6.487 1.277 6.299
-11.674 -1.006 4.290
-7.783 -0.671 2.860
-1.730 1.075 3.246
```

Uncorrected energy ... -36.5 eV for the cell shown
Magnetic moment ... 0.00 Bohr magnetons per cell
Calculated formation energy ... -1.4 kcal/mol of atoms
Crystal system ... tetragonal

***

Cd8In2Au after structural relaxation. Source: Alexandria via LeMat-Bulk, functional GGA-PBE.

The structure in POSCAR format:
```
Cd8In2Au
1.0
4.312 0.000 -1.148
-0.467 6.779 -1.755
-0.027 -0.046 8.568
Cd Au In
8 1 2
Cartesian
3.990 1.790 6.311
2.476 6.127 0.628
3.333 5.618 3.845
-0.172 4.944 -0.647
2.320 2.971 0.042
0.485 1.115 1.819
1.497 3.763 5.622
1.341 0.607 5.036
2.156 0.000 -0.574
0.652 4.324 2.450
3.165 2.410 3.214
```

Uncorrected energy ... -16.2 eV for the cell shown
Magnetic moment ... 0.00 Bohr magnetons per cell
Calculated formation energy ... -0.2 kcal/mol of atoms
Crystal system ... monoclinic

***

Cd2InAu after structural relaxation. Source: Alexandria via LeMat-Bulk, functional GGA-PBE.

The structure in POSCAR format:
```
Cd2InAu
1.0
9.613 0.082 0.048
9.019 3.330 0.048
9.019 1.651 2.892
Cd Au In
2 1 1
Cartesian
6.925 1.268 0.749
0.154 0.028 0.017
20.729 3.796 2.241
13.667 2.503 1.477
```

Uncorrected energy ... -8.0 eV for the cell shown
Magnetic moment ... 0.00 Bohr magnetons per cell
Calculated formation energy ... -1.1 kcal/mol of atoms
Crystal system ... trigonal

***

CdInAu2 after structural relaxation. Source: Alexandria via LeMat-Bulk, functional GGA-PBE.

The structure in POSCAR format:
```
CdInAu2
1.0
-8.059 1.369 2.748
-7.398 -1.741 4.076
-6.353 1.096 5.729
Au Cd In
2 1 1
Cartesian
-0.009 0.000 0.005
-10.896 0.362 6.272
-5.452 0.181 3.138
-16.357 0.543 9.415
```

Uncorrected energy ... -10.6 eV for the cell shown
Magnetic moment ... 0.00 Bohr magnetons per cell
Calculated formation energy ... -2.3 kcal/mol of atoms
Crystal system ... trigonal

***

Cd2InAu after structural relaxation. Source: Alexandria via LeMat-Bulk, functional GGA-PBE.

The structure in POSCAR format:
```
Cd2InAu
1.0
-1.318 -3.080 -2.974
0.277 -2.609 2.579
-5.044 -0.968 3.238
Cd Au In
2 1 1
Cartesian
-1.577 -2.248 -0.346
0.056 -2.132 2.183
-4.001 -4.642 3.206
-2.670 -2.031 3.287
```

Uncorrected energy ... -8.1 eV for the cell shown
Magnetic moment ... 0.00 Bohr magnetons per cell
Calculated formation energy ... -1.7 kcal/mol of atoms
Crystal system ... monoclinic

***

Cd6InAu5 after structural relaxation. Source: Alexandria via LeMat-Bulk, functional GGA-PBE.

The structure in POSCAR format:
```
Cd6InAu5
1.0
-2.232 -4.732 -0.280
2.832 -1.654 5.368
-5.064 3.882 3.868
Au Cd In
5 6 1
Cartesian
-2.534 0.659 5.225
-1.930 -3.162 3.730
-3.984 1.483 2.559
1.416 -0.827 2.684
-3.312 -2.332 1.029
-1.614 -0.286 2.630
-2.850 -2.218 6.326
-0.216 -1.102 5.280
-4.084 0.292 7.702
-0.381 -2.795 1.254
-4.248 -1.401 3.676
0.000 0.000 0.000
```

Uncorrected energy ... -26.2 eV for the cell shown
Magnetic moment ... 0.00 Bohr magnetons per cell
Calculated formation energy ... -3.1 kcal/mol of atoms
Crystal system ... monoclinic

***

Cd2InAu8 after structural relaxation. Source: Alexandria via LeMat-Bulk, functional GGA-PBE.

The structure in POSCAR format:
```
Cd2InAu8
1.0
4.503 -0.044 0.000
0.101 8.582 0.000
0.051 4.291 5.663
In Au Cd
1 8 2
Cartesian
2.251 -0.022 0.000
4.566 5.716 4.168
2.281 2.830 0.000
2.323 5.707 0.000
0.140 11.404 4.168
4.515 1.425 1.495
2.302 4.269 2.958
0.089 7.113 1.495
2.353 8.560 2.705
0.051 4.291 1.427
0.101 8.582 4.235
```

Uncorrected energy ... -31.2 eV for the cell shown
Magnetic moment ... 0.00 Bohr magnetons per cell
Calculated formation energy ... -0.8 kcal/mol of atoms
Polymorph energy (0 for the lowest one) ... 78 meV per atom
Crystal system ... monoclinic

***

CdInAu after structural relaxation. Source: Alexandria via LeMat-Bulk, functional GGA-PBE.

The structure in POSCAR format:
```
CdInAu
1.0
6.246 -0.087 0.092
5.363 3.202 0.118
0.883 0.211 3.283
Au Cd In
1 1 1
Cartesian
11.577 3.106 0.220
4.630 1.225 2.210
7.894 2.109 1.275
```

Uncorrected energy ... -7.1 eV for the cell shown
Magnetic moment ... 0.00 Bohr magnetons per cell
Calculated formation energy ... -1.5 kcal/mol of atoms
Crystal system ... tetragonal

***

Cd2InAu after structural relaxation. Source: Alexandria via LeMat-Bulk, functional GGA-PBE.

The structure in POSCAR format:
```
Cd2InAu
1.0
3.028 0.000 0.000
0.000 4.010 0.000
0.000 0.000 7.339
Cd Au In
2 1 1
Cartesian
0.000 0.000 7.204
1.514 2.005 1.734
1.514 2.005 5.571
0.000 0.000 3.838
```

Uncorrected energy ... -8.1 eV for the cell shown
Magnetic moment ... 0.00 Bohr magnetons per cell
Calculated formation energy ... -1.4 kcal/mol of atoms
Crystal system ... orthorhombic

***

CdInAu after structural relaxation. Source: Alexandria via LeMat-Bulk, functional GGA-PBE.

The structure in POSCAR format:
```
CdInAu
1.0
-1.303 3.727 -2.321
-2.483 -1.467 3.558
2.109 2.225 2.389
In Au Cd
1 1 1
Cartesian
-0.578 1.859 3.310
0.000 0.000 0.000
-1.099 2.626 0.316
```

Uncorrected energy ... -7.1 eV for the cell shown
Magnetic moment ... 0.00 Bohr magnetons per cell
Calculated formation energy ... -1.5 kcal/mol of atoms
Crystal system ... trigonal

***

CdIn2Au3 after structural relaxation. Source: Alexandria via LeMat-Bulk, functional GGA-PBE.

The structure in POSCAR format:
```
CdIn2Au3
1.0
5.642 0.000 0.000
0.000 8.412 0.039
-2.821 -2.015 5.527
Au In Cd
6 4 2
Cartesian
-0.021 0.027 1.544
0.021 4.233 1.563
4.015 2.103 0.010
2.842 6.371 4.022
2.800 2.165 4.003
1.627 6.309 0.029
2.800 0.053 1.998
2.842 4.259 2.018
-0.021 2.139 3.548
0.021 6.345 3.568
4.370 6.309 0.029
1.271 2.103 0.010
```

Uncorrected energy ... -34.3 eV for the cell shown
Magnetic moment ... 0.00 Bohr magnetons per cell
Calculated formation energy ... -3.5 kcal/mol of atoms
Polymorph energy (0 for the lowest one) ... 0 meV per atom
Crystal system ... monoclinic

***

CdIn2Au8 after structural relaxation. Source: Alexandria via LeMat-Bulk, functional GGA-PBE.

The structure in POSCAR format:
```
CdIn2Au8
1.0
3.947 0.000 0.000
0.000 6.824 0.111
-1.974 -2.796 7.826
Au Cd In
8 1 2
Cartesian
1.974 3.362 5.682
0.000 0.666 2.255
0.000 -1.349 5.090
0.000 1.402 6.571
1.974 5.377 2.847
0.000 4.783 0.798
1.974 -0.755 7.139
1.974 2.626 1.366
1.974 0.000 0.000
0.000 3.278 3.427
1.974 0.750 4.510
```

Uncorrected energy ... -33.8 eV for the cell shown
Magnetic moment ... 0.00 Bohr magnetons per cell
Calculated formation energy ... -2.4 kcal/mol of atoms
Polymorph energy (0 for the lowest one) ... 12 meV per atom
Crystal system ... monoclinic

***

Cd2In2Au3 after structural relaxation. Source: Alexandria via LeMat-Bulk, functional GGA-PBE.

The structure in POSCAR format:
```
Cd2In2Au3
1.0
0.115 -4.487 1.313
4.116 2.273 -0.516
-1.321 4.699 6.799
Au In Cd
3 2 2
Cartesian
0.000 0.000 0.000
2.850 0.755 2.062
0.060 1.730 5.534
2.823 1.477 4.794
0.087 1.008 2.802
1.490 -1.890 1.633
1.419 4.375 5.963
```

Uncorrected energy ... -18.4 eV for the cell shown
Magnetic moment ... 0.00 Bohr magnetons per cell
Calculated formation energy ... -4.0 kcal/mol of atoms
Crystal system ... triclinic